[1]
First-principles (PBE-GGA) data for crystalline YZr6P9O36 at its relaxed geometry, as listed in the Alexandria database.

Calculated values
- M_tot (μB per formula unit) = 0.00
- ΔE_f (raw) (meV per atom) = -2758
- Fermi-level density of states (states/eV/f.u.) = 0.000

Cell: 8.9737 8.9737 22.7681 Å, 90.00 90.00 120.00°
Closest atoms and distances in Å follow each position.
Fractional positions:
Y  0.0000  0.0000  0.0000  6 O 2.34
Y  0.0000  0.0000  0.5000  6 O 2.34
Zr  0.0000  0.0000  0.1486  6 O 2.02-2.26
Zr  0.0000  0.0000  0.3514  6 O 2.02-2.26
Zr  0.0000  0.0000  0.6486  6 O 2.02-2.26
Zr  0.0000  0.0000  0.8514  6 O 2.02-2.26
Zr  0.3333  0.6667  0.0318  6 O 2.08-2.12
Zr  0.3333  0.6667  0.3124  6 O 2.08-2.11
Zr  0.3333  0.6667  0.5318  6 O 2.08-2.12
Zr  0.3333  0.6667  0.8124  6 O 2.08-2.11
Zr  0.6667  0.3333  0.1876  6 O 2.08-2.11
Zr  0.6667  0.3333  0.4682  6 O 2.08-2.12
Zr  0.6667  0.3333  0.6876  6 O 2.08-2.11
Zr  0.6667  0.3333  0.9682  6 O 2.08-2.12
P  0.0000  0.2916  0.2500  4 O 1.52-1.56
P  0.0000  0.7084  0.7500  4 O 1.52-1.56
P  0.0550  0.3747  0.9218  4 O 1.53-1.59
P  0.0550  0.6803  0.4218  4 O 1.53-1.59
P  0.2916  0.0000  0.2500  4 O 1.52-1.56
P  0.2916  0.2916  0.7500  4 O 1.52-1.56
P  0.3197  0.3747  0.4218  4 O 1.53-1.59
P  0.3197  0.9450  0.9218  4 O 1.53-1.59
P  0.3747  0.0550  0.5782  4 O 1.53-1.59
P  0.3747  0.3197  0.0782  4 O 1.53-1.59
P  0.6253  0.6803  0.9218  4 O 1.53-1.59
P  0.6253  0.9450  0.4218  4 O 1.53-1.59
P  0.6803  0.0550  0.0782  4 O 1.53-1.59
P  0.6803  0.6253  0.5782  4 O 1.53-1.59
P  0.7084  0.0000  0.7500  4 O 1.52-1.56
P  0.7084  0.7084  0.2500  4 O 1.52-1.56
P  0.9450  0.3197  0.5782  4 O 1.53-1.59
P  0.9450  0.6253  0.0782  4 O 1.53-1.59
O  0.0268  0.1849  0.9232  1 P 1.59
O  0.0268  0.8418  0.4232  1 P 1.59
O  0.0299  0.2037  0.1956  1 P 1.56
O  0.0299  0.8262  0.6956  1 P 1.56
O  0.1234  0.4829  0.5790  1 P 1.54
O  0.1234  0.6406  0.0790  1 P 1.54
O  0.1536  0.4655  0.8661  1 P 1.53
O  0.1536  0.6881  0.3661  1 P 1.53
O  0.1561  0.4625  0.9777  1 P 1.53
O  0.1561  0.6937  0.4777  1 P 1.53
O  0.1582  0.1849  0.4232  1 P 1.59
O  0.1582  0.9732  0.9232  1 P 1.59
O  0.1588  0.4673  0.2594  1 P 1.52
O  0.1588  0.6915  0.7594  1 P 1.52
O  0.1738  0.2037  0.6956  1 P 1.56
O  0.1738  0.9701  0.1956  1 P 1.56
O  0.1849  0.0268  0.5768  1 P 1.59
O  0.1849  0.1582  0.0768  1 P 1.59
O  0.2037  0.0299  0.3044  1 P 1.56
O  0.2037  0.1738  0.8044  1 P 1.56
O  0.3063  0.4625  0.4777  1 P 1.53
O  0.3063  0.8439  0.9777  1 P 1.53
O  0.3085  0.4673  0.7594  1 P 1.52
O  0.3085  0.8412  0.2594  1 P 1.52
O  0.3119  0.4655  0.3661  1 P 1.53
O  0.3119  0.8464  0.8661  1 P 1.53
O  0.3594  0.4829  0.0790  1 P 1.54
O  0.3594  0.8766  0.5790  1 P 1.54
O  0.4625  0.1561  0.5223  1 P 1.53
O  0.4625  0.3063  0.0223  1 P 1.53
O  0.4655  0.1536  0.6339  1 P 1.53
O  0.4655  0.3119  0.1339  1 P 1.53
O  0.4673  0.1588  0.2406  1 P 1.52
O  0.4673  0.3085  0.7406  1 P 1.52
O  0.4829  0.1234  0.9210  1 P 1.54
O  0.4829  0.3594  0.4210  1 P 1.54
O  0.5171  0.6406  0.5790  1 P 1.54
O  0.5171  0.8766  0.0790  1 P 1.54
O  0.5327  0.6915  0.2594  1 P 1.52
O  0.5327  0.8412  0.7594  1 P 1.52
O  0.5345  0.6881  0.8661  1 P 1.53
O  0.5345  0.8464  0.3661  1 P 1.53
O  0.5375  0.6937  0.9777  1 P 1.53
O  0.5375  0.8439  0.4777  1 P 1.53
O  0.6406  0.1234  0.4210  1 P 1.54
O  0.6406  0.5171  0.9210  1 P 1.54
O  0.6881  0.1536  0.1339  1 P 1.53
O  0.6881  0.5345  0.6339  1 P 1.53
O  0.6915  0.1588  0.7406  1 P 1.52
O  0.6915  0.5327  0.2406  1 P 1.52
O  0.6937  0.1561  0.0223  1 P 1.53
O  0.6937  0.5375  0.5223  1 P 1.53
O  0.7963  0.8262  0.1956  1 P 1.56
O  0.7963  0.9701  0.6956  1 P 1.56
O  0.8151  0.8418  0.9232  1 P 1.59
O  0.8151  0.9732  0.4232  1 P 1.59
O  0.8262  0.0299  0.8044  1 P 1.56
O  0.8262  0.7963  0.3044  1 P 1.56
O  0.8412  0.3085  0.2406  1 P 1.52
O  0.8412  0.5327  0.7406  1 P 1.52
O  0.8418  0.0268  0.0768  1 P 1.59
O  0.8418  0.8151  0.5768  1 P 1.59
O  0.8439  0.3063  0.5223  1 P 1.53
O  0.8439  0.5375  0.0223  1 P 1.53
O  0.8464  0.3119  0.6339  1 P 1.53
O  0.8464  0.5345  0.1339  1 P 1.53
O  0.8766  0.3594  0.9210  1 P 1.54
O  0.8766  0.5171  0.4210  1 P 1.54
O  0.9701  0.1738  0.3044  1 P 1.56
O  0.9701  0.7963  0.8044  1 P 1.56
O  0.9732  0.1582  0.5768  1 P 1.59
O  0.9732  0.8151  0.0768  1 P 1.59

***

[2]
First-principles (PBE-GGA) data for crystalline RbAlSnF6 at its relaxed geometry, as listed in the Alexandria database.

Calculated values
- M_tot (μB per formula unit) = 0.00
- ΔE_f (raw) (meV per atom) = -2988
- Fermi-level density of states (states/eV/f.u.) = 0.000

Cell: 5.3945 5.5863 5.6658 Å, 61.54 89.34 89.63°
Closest atoms and distances in Å follow each position.
Fractional positions:
Rb  0.0000  0.0000  0.0000  9 F 2.83-3.15
Al  0.4042  0.3236  0.3581  6 F 1.79-1.90
Sn  0.5032  0.6640  0.6432  5 F 2.27-2.49
F  0.1909  0.5071  0.4889  1 Al 1.90
F  0.2091  0.0132  0.5045  1 Al 1.85
F  0.2399  0.4674  0.0397  1 Al 1.83
F  0.5501  0.2000  0.6887  1 Al 1.84
F  0.5931  0.6306  0.2409  1 Al 1.83
F  0.6204  0.1429  0.2600  1 Al 1.79

***

[3]
First-principles (PBE-GGA) data for crystalline ZrRu2Br at its relaxed geometry, as listed in the Alexandria database.

Calculated values
- M_tot (μB per formula unit) = 0.00
- ΔE_f (raw) (meV per atom) = 255
- Fermi-level density of states (states/eV/f.u.) = 3.046

Cell: 3.0723 4.5273 4.8135 Å, 90.00 90.00 90.00°
Closest atoms and distances in Å follow each position.
Fractional positions:
Zr  0.0000  0.0000  0.0000  4 Ru 2.74, 4 Br 2.86
Ru  0.0000  0.5000  0.5000  4 Br 2.74, 4 Ru 2.86
Ru  0.5000  0.5000  0.0000  4 Zr 2.74, 4 Ru 2.86
Br  0.5000  0.0000  0.5000  4 Ru 2.74, 4 Zr 2.86